Material: Tb5Pa3H12
Method: DFT, PBE-GGA
State: relaxed Values from VASP.

The structure in Quantum ESPRESSO input format:
```
&SYSTEM
  ibrav = 0, nat = 80, ntyp = 3
/
ATOMIC_SPECIES
Tb 158.93 Tb.upf
Pa 231.04 Pa.upf
H 1.01 H.upf
ATOMIC_POSITIONS crystal
Tb 0.000 0.000 0.000
Tb 0.000 0.000 0.500
Tb 0.000 0.500 0.000
Tb 0.000 0.500 0.500
Tb 0.125 0.750 0.875
Tb 0.125 0.875 0.250
Tb 0.250 0.125 0.875
Tb 0.250 0.625 0.375
Tb 0.375 0.250 0.625
Tb 0.375 0.625 0.750
Tb 0.500 0.000 0.000
Tb 0.500 0.000 0.500
Tb 0.500 0.500 0.000
Tb 0.500 0.500 0.500
Tb 0.625 0.375 0.250
Tb 0.625 0.750 0.375
Tb 0.750 0.375 0.625
Tb 0.750 0.875 0.125
Tb 0.875 0.125 0.750
Tb 0.875 0.250 0.125
Pa 0.125 0.250 0.375
Pa 0.125 0.375 0.750
Pa 0.250 0.375 0.125
Pa 0.250 0.875 0.625
Pa 0.375 0.125 0.250
Pa 0.375 0.750 0.125
Pa 0.625 0.250 0.875
Pa 0.625 0.875 0.750
Pa 0.750 0.125 0.375
Pa 0.750 0.625 0.875
Pa 0.875 0.625 0.250
Pa 0.875 0.750 0.625
H 0.075 0.230 0.154
H 0.075 0.345 0.921
H 0.076 0.730 0.655
H 0.076 0.846 0.421
H 0.079 0.654 0.424
H 0.079 0.925 0.655
H 0.154 0.075 0.230
H 0.154 0.579 0.924
H 0.155 0.230 0.576
H 0.155 0.425 0.579
H 0.230 0.154 0.075
H 0.230 0.576 0.155
H 0.270 0.345 0.924
H 0.270 0.425 0.346
H 0.345 0.921 0.075
H 0.345 0.924 0.270
H 0.346 0.270 0.425
H 0.346 0.576 0.921
H 0.421 0.076 0.846
H 0.421 0.845 0.575
H 0.424 0.079 0.654
H 0.424 0.845 0.770
H 0.425 0.346 0.270
H 0.425 0.579 0.155
H 0.575 0.421 0.845
H 0.575 0.654 0.730
H 0.576 0.155 0.230
H 0.576 0.921 0.346
H 0.579 0.155 0.425
H 0.579 0.924 0.154
H 0.654 0.424 0.079
H 0.654 0.730 0.575
H 0.655 0.076 0.730
H 0.655 0.079 0.925
H 0.730 0.575 0.654
H 0.730 0.655 0.076
H 0.770 0.424 0.845
H 0.770 0.846 0.925
H 0.845 0.575 0.421
H 0.845 0.770 0.424
H 0.846 0.421 0.076
H 0.846 0.925 0.770
H 0.921 0.075 0.345
H 0.921 0.346 0.576
H 0.924 0.154 0.579
H 0.924 0.270 0.345
H 0.925 0.655 0.079
H 0.925 0.770 0.846
CELL_PARAMETERS angstrom
-6.493 6.493 6.493
6.493 -6.493 6.493
6.493 6.493 -6.493
```

Space-group type ... Ia-3d
Crystal system ... cubic
E_tot ... -4.9468 eV/atom